Compound: TiAl4Pd7
Source: Alexandria via LeMat-Bulk
Functional: PBE
Structure: relaxed

Summary:
Total energy: -5.4911 eV per atom
Fermi-level density of states: 0.427 states/eV/atom
Calculated formation energy: -0.557 eV per atom

a b c (Å): 11.7189 4.5957 9.0739
angles (deg): 90.00 127.06 90.00
Closest atoms and distances in Å follow each position.
Space group C2/m (No. 12)
Inequivalent atoms, fractional coordinates:
1 Ti 0.0000 0.0000 0.0000  2 Pd 2.30
2 Al 0.0804 0.5000 0.7868  8 Pd 2.47-2.76
3 Al 0.2099 0.5000 0.3429  6 Pd 2.49-2.65
4 Pd 0.0000 0.5000 0.0000  2 Ti 2.30, 2 Al 2.55
5 Pd 0.0687 0.0000 0.3320  3 Al 2.49-2.69, 1 Ti 2.61, 1 Pd 2.70
6 Pd 0.1531 0.5000 0.5816  5 Al 2.47-2.76
7 Pd 0.2191 0.0000 0.8688  4 Al 2.51-2.65, 2 Pd 2.70-2.74

***

Compound: TiAl3Pd
Source: Alexandria via LeMat-Bulk
Functional: PBE
Structure: relaxed

Summary:
Total energy: -4.6508 eV per atom
Energy above the most stable polymorph in this dataset: 576.4 meV/atom
Fermi-level density of states: 0.940 states/eV/atom
Calculated formation energy: 0.212 eV per atom

a b c (Å): 4.6414 4.6414 4.6414
angles (deg): 90.00 90.00 90.00
Closest atoms and distances in Å follow each position.
Space group Pm-3m (No. 221)
Inequivalent atoms, fractional coordinates:
1 Ti 0.0000 0.0000 0.0000  12 Al 3.28
2 Al 0.0000 0.5000 0.5000  2 Pd 2.32
3 Pd 0.5000 0.5000 0.5000  6 Al 2.32

***

Compound: TiAl2Pd9
Source: Alexandria via LeMat-Bulk
Functional: PBE
Structure: relaxed

Summary:
Total energy: -5.8093 eV per atom
Fermi-level density of states: 0.867 states/eV/atom
Calculated formation energy: -0.633 eV per atom

a b c (Å): 3.9235 3.9235 11.6848
angles (deg): 90.00 90.00 90.00
Closest atoms and distances in Å follow each position.
Space group P4/mmm (No. 123)
Inequivalent atoms, fractional coordinates:
1 Ti 0.0000 0.0000 0.0000  12 Pd 2.76-2.77
2 Al 0.0000 0.0000 0.3377  12 Pd 2.73-2.80
3 Pd 0.0000 0.5000 0.1663  8 Pd 2.76-2.77, 2 Ti 2.76, 2 Al 2.80
4 Pd 0.0000 0.5000 0.5000  4 Al 2.73, 8 Pd 2.77
5 Pd 0.5000 0.5000 0.0000  8 Pd 2.76, 4 Ti 2.77
6 Pd 0.5000 0.5000 0.3328  8 Pd 2.76-2.77, 4 Al 2.77

***

Compound: TiAl3Pd
Source: Alexandria via LeMat-Bulk
Functional: PBE
Structure: relaxed

Summary:
Total energy: -5.2272 eV per atom
Energy above the most stable polymorph in this dataset: 0.0 meV/atom
Fermi-level density of states: 0.592 states/eV/atom
Calculated formation energy: -0.364 eV per atom

a b c (Å): 6.7566 8.3573 5.9821
angles (deg): 90.00 90.00 90.00
Closest atoms and distances in Å follow each position.
Space group Pnma (No. 62)
Inequivalent atoms, fractional coordinates:
1 Ti 0.1573 0.2500 0.1456  8 Al 2.68-2.98
2 Al 0.0716 0.7500 0.2525  2 Pd 2.61, 1 Ti 2.84, 2 Al 2.86
3 Al 0.1537 0.5233 0.8792  2 Pd 2.46-2.50, 1 Al 2.56, 1 Ti 2.68
4 Pd 0.0000 0.0000 0.5000  6 Al 2.46-2.61

***

Compound: TiAl6Pd12
Source: Alexandria via LeMat-Bulk
Functional: PBE
Structure: relaxed

Summary:
Total energy: -5.3841 eV per atom
Fermi-level density of states: 0.415 states/eV/atom
Calculated formation energy: -0.507 eV per atom

a b c (Å): 10.7358 10.7358 9.8165
angles (deg): 90.00 90.00 120.00
Closest atoms and distances in Å follow each position.
Space group R-3 (No. 148, hexagonal axes)
Inequivalent atoms, fractional coordinates:
1 Ti 0.0000 0.0000 0.0000  6 Pd 2.56
2 Al 0.0431 0.8491 0.6849  6 Pd 2.45-2.63
3 Pd 0.0510 0.8004 0.9306  2 Al 2.48-2.53, 1 Ti 2.56, 1 Pd 2.76
4 Pd 0.0602 0.8087 0.4284  4 Al 2.45-2.63

***

Compound: Ti4AlPd3
Source: Alexandria via LeMat-Bulk
Functional: PBE
Structure: relaxed

Summary:
Total energy: -6.6246 eV per atom
Fermi-level density of states: 0.889 states/eV/atom
Calculated formation energy: -0.262 eV per atom

a b c (Å): 22.6054 2.7624 4.3413
angles (deg): 90.00 100.78 90.00
Closest atoms and distances in Å follow each position.
Space group C2/m (No. 12)
Inequivalent atoms, fractional coordinates:
1 Ti 0.1065 0.0000 0.1113  6 Pd 2.74-2.78, 3 Ti 2.76-2.79
2 Ti 0.2322 0.0000 0.2327  1 Pd 2.54, 7 Ti 2.69-2.79
3 Al 0.0000 0.0000 0.5000  4 Pd 2.57, 2 Al 2.76
4 Pd 0.0000 0.5000 0.0000  4 Al 2.57, 4 Ti 2.74, 2 Pd 2.76
5 Pd 0.1536 0.5000 0.6570  5 Ti 2.54-2.78, 2 Pd 2.76

***

Compound: Ti2AlPd5
Source: Alexandria via LeMat-Bulk
Functional: PBE
Structure: relaxed

Summary:
Total energy: -6.3100 eV per atom
Fermi-level density of states: 1.200 states/eV/atom
Calculated formation energy: -0.623 eV per atom

a b c (Å): 5.4856 10.5861 4.2090
angles (deg): 90.00 90.00 90.00
Closest atoms and distances in Å follow each position.
Space group Pbam (No. 55)
Inequivalent atoms, fractional coordinates:
1 Ti 0.1663 0.1387 0.0000  10 Pd 2.68-2.87
2 Al 0.0000 0.5000 0.5000  8 Pd 2.56-2.74
3 Pd 0.0000 0.0000 0.5000  4 Ti 2.72, 2 Al 2.74, 6 Pd 2.79-3.01
4 Pd 0.1069 0.7426 0.5000  1 Al 2.63, 4 Ti 2.68-2.87, 5 Pd 2.75-2.91
5 Pd 0.1675 0.3930 0.0000  2 Al 2.56, 4 Ti 2.69-2.77

***

Compound: Ti2AlPd2
Source: Alexandria via LeMat-Bulk
Functional: PBE
Structure: relaxed

Summary:
Total energy: -6.5125 eV per atom
Fermi-level density of states: 0.859 states/eV/atom
Calculated formation energy: -0.529 eV per atom

a b c (Å): 7.2047 7.2047 3.1575
angles (deg): 90.00 90.00 90.00
Closest atoms and distances in Å follow each position.
Space group P4/mbm (No. 127)
Inequivalent atoms, fractional coordinates:
1 Ti 0.1696 0.3304 0.0000  6 Pd 2.56-2.70
2 Al 0.0000 0.0000 0.5000  4 Pd 2.81, 8 Ti 3.11
3 Pd 0.1326 0.6326 0.5000  6 Ti 2.56-2.70, 1 Pd 2.70, 2 Al 2.81

***

Compound: Ti2Al4Pd
Source: Alexandria via LeMat-Bulk
Functional: PBE
Structure: relaxed

Summary:
Total energy: -4.9143 eV per atom
Fermi-level density of states: 0.896 states/eV/atom
Calculated formation energy: 0.222 eV per atom

a b c (Å): 4.7101 4.7101 13.0939
angles (deg): 90.00 90.00 90.00
Closest atoms and distances in Å follow each position.
Space group I4/mmm (No. 139)
Inequivalent atoms, fractional coordinates:
1 Ti 0.0000 0.0000 0.1044  5 Al 2.68-2.72, 1 Ti 2.73
2 Al 0.0000 0.0000 0.3089  1 Pd 2.50, 1 Ti 2.68
3 Al 0.0000 0.5000 0.0000  2 Pd 2.36
4 Pd 0.0000 0.0000 0.5000  6 Al 2.36-2.50

***

Compound: TiAlPd4
Source: Alexandria via LeMat-Bulk
Functional: PBE
Structure: relaxed

Summary:
Total energy: -6.0826 eV per atom
Energy above the most stable polymorph in this dataset: 0.0 meV/atom
Fermi-level density of states: 0.470 states/eV/atom
Calculated formation energy: -0.681 eV per atom

a b c (Å): 9.8825 3.1804 6.1038
angles (deg): 90.00 107.96 90.00
Closest atoms and distances in Å follow each position.
Space group C2/m (No. 12)
Inequivalent atoms, fractional coordinates:
1 Ti 0.0000 0.0000 0.0000  8 Pd 2.63-2.67
2 Al 0.0000 0.0000 0.5000  8 Pd 2.58-2.64
3 Pd 0.1482 0.5000 0.3310  2 Al 2.58, 2 Ti 2.63, 5 Pd 2.87-2.88
4 Pd 0.1568 0.5000 0.8242  2 Al 2.64, 2 Ti 2.67, 5 Pd 2.84-2.88

***

Compound: Ti4AlPd
Source: Alexandria via LeMat-Bulk
Functional: PBE
Structure: relaxed

Summary:
Total energy: -7.1119 eV per atom
Energy above the most stable polymorph in this dataset: 0.0 meV/atom
Fermi-level density of states: 0.733 states/eV/atom
Calculated formation energy: -0.359 eV per atom

a b c (Å): 3.1236 3.1236 10.0649
angles (deg): 90.00 90.00 90.00
Closest atoms and distances in Å follow each position.
Space group P4/mmm (No. 123)
Inequivalent atoms, fractional coordinates:
1 Ti 0.0000 0.0000 0.1642  4 Pd 2.76, 4 Ti 2.78
2 Ti 0.5000 0.5000 0.3327  4 Al 2.78, 4 Ti 2.78
3 Al 0.0000 0.0000 0.5000  8 Ti 2.78
4 Pd 0.5000 0.5000 0.0000  8 Ti 2.76

***

Compound: Ti4AlPd
Source: Alexandria via LeMat-Bulk
Functional: PBE
Structure: relaxed

Summary:
Total energy: -6.8130 eV per atom
Energy above the most stable polymorph in this dataset: 298.9 meV/atom
Fermi-level density of states: 1.428 states/eV/atom
Calculated formation energy: -0.060 eV per atom

a b c (Å): 4.4029 18.1994 5.4137
angles (deg): 90.00 90.00 90.00
Closest atoms and distances in Å follow each position.
Space group Cmc2_1 (No. 36)
Inequivalent atoms, fractional coordinates:
1 Ti 0.0000 0.0540 0.0000  2 Pd 2.51-2.69, 1 Ti 2.76
2 Ti 0.0000 0.2051 0.9672  7 Ti 2.56-2.84
3 Ti 0.0000 0.2229 0.4662  1 Pd 2.53, 4 Ti 2.56-2.73
4 Ti 0.0000 0.3627 0.2252  2 Al 2.66-2.75, 2 Pd 2.73, 3 Ti 2.84-2.86
5 Al 0.0000 0.3639 0.7170  7 Ti 2.66-2.91, 2 Pd 2.81
6 Pd 0.0000 0.0839 0.4866  5 Ti 2.51-2.73, 2 Al 2.81